Computed, not measured: crystalline GeBiAsSe2 at its relaxed geometry at the GGA-PBE level of DFT.

Unit cell a=5.0317 b=5.0317 c=5.5722 alpha=90.00 beta=90.00 gamma=90.00
Last column: nearest neighbours and their distance in Å.
Element x y z (fractional)
Ge1 0.0000 0.0000 0.0000  4 Bi 3.56, 8 Se 3.75
Bi1 0.5000 0.5000 0.0000  2 As 2.79
As1 0.5000 0.5000 0.5000  4 Se 2.52, 2 Bi 2.79
Se1 0.0000 0.5000 0.5000  2 As 2.52
Se2 0.5000 0.0000 0.5000  2 As 2.52

Summary:
As for the raw total energy: -17.4 eV for the cell shown. The calculation puts the formation energy from raw total energies at 0.55 eV/atom. The calculation puts the magnetization at 0.00 μB/f.u.

=====

Computed, not measured: crystalline Th6Ge2BiAs3 at its relaxed geometry at the GGA-PBE level of DFT.

Unit cell a=9.6696 b=9.6696 c=8.6850 alpha=102.62 beta=102.62 gamma=25.82
Last column: nearest neighbours and their distance in Å.
Element x y z (fractional)
Th1 0.0023 0.0023 0.2711  3 As 2.94-3.04, 1 Ge 3.03, 2 Bi 3.19
Th2 0.3256 0.3256 0.9084  3 As 2.99-3.09, 2 Ge 3.04, 1 Bi 3.21
Th3 0.3323 0.3323 0.4180  3 Ge 3.04-3.05, 3 As 3.08-3.09
Th4 0.6677 0.6677 0.5820  3 Ge 3.04-3.05, 3 As 3.08-3.09
Th5 0.6744 0.6744 0.0916  3 As 2.99-3.09, 2 Ge 3.04, 1 Bi 3.21
Th6 0.9977 0.9977 0.7289  3 As 2.94-3.04, 1 Ge 3.03, 2 Bi 3.19
Ge1 0.1670 0.1670 0.3332  6 Th 3.03-3.05
Ge2 0.8330 0.8330 0.6668  6 Th 3.03-3.05
Bi1 0.5000 0.5000 0.0000  6 Th 3.19-3.21
As1 0.1629 0.1629 0.8335  6 Th 2.99-3.09
As2 0.5000 0.5000 0.5000  6 Th 2.94-3.08
As3 0.8371 0.8371 0.1665  6 Th 2.99-3.09

Summary:
For the energy of formation, the calculation gives -1.049 eV/atom. As for the raw total energy: -84.2 eV for the cell shown. The calculation puts the magnetization at 0.00 μB/f.u.

=====

Computed, not measured: crystalline TiGeBi2As at its relaxed geometry at the GGA-PBE level of DFT.

Unit cell a=5.4281 b=5.4281 c=4.8935 alpha=90.00 beta=90.00 gamma=90.00
Last column: nearest neighbours and their distance in Å.
Element x y z (fractional)
Ti1 0.0000 0.0000 0.0000  8 Bi 3.65, 4 As 3.84
Ge1 0.5000 0.5000 0.5000  2 As 2.45, 4 Bi 2.71
Bi1 0.0000 0.5000 0.5000  2 Ge 2.71
Bi2 0.5000 0.0000 0.5000  2 Ge 2.71
As1 0.5000 0.5000 0.0000  2 Ge 2.45

Summary:
For the energy of formation, the calculation gives 0.912 eV/atom. As for the raw total energy: -20.4 eV for the cell shown. The calculation puts the magnetization at 0.01 μB/f.u.

=====

Computed, not measured: crystalline TlGeBi2As at its relaxed geometry at the GGA-PBE level of DFT.

Unit cell a=5.8726 b=5.8726 c=5.1339 alpha=90.00 beta=90.00 gamma=90.00
Last column: nearest neighbours and their distance in Å.
Element x y z (fractional)
Tl1 0.0000 0.0000 0.0000  2 Ge 2.57
Ge1 0.0000 0.0000 0.5000  2 Tl 2.57
Bi1 0.0000 0.5000 0.0000  2 Tl 2.94
Bi2 0.5000 0.0000 0.0000  2 Tl 2.94
As1 0.5000 0.5000 0.5000  8 Bi 3.90, 4 Ge 4.15

Summary:
For the energy of formation, the calculation gives 1.055 eV/atom. As for the raw total energy: -14.1 eV for the cell shown. The calculation puts the magnetization at 0.00 μB/f.u.

=====

Computed, not measured: crystalline Y2GeBiAs at its relaxed geometry at the GGA-PBE level of DFT.

Unit cell a=5.7937 b=5.7937 c=5.2695 alpha=90.00 beta=90.00 gamma=90.00
Last column: nearest neighbours and their distance in Å.
Element x y z (fractional)
Y1 0.0000 0.5000 0.0000  2 Bi 2.90
Y2 0.5000 0.0000 0.0000  2 Bi 2.90
Ge1 0.0000 0.0000 0.5000  2 Bi 2.63
Bi1 0.0000 0.0000 0.0000  2 Ge 2.63, 4 Y 2.90
As1 0.5000 0.5000 0.5000  8 Y 3.92, 4 Ge 4.10

Summary:
For the energy of formation, the calculation gives 0.465 eV/atom. As for the raw total energy: -23.8 eV for the cell shown. The calculation puts the magnetization at 0.00 μB/f.u.

=====

Computed, not measured: crystalline Y2GeBiAs at its relaxed geometry at the GGA-PBE level of DFT.

Unit cell a=5.5112 b=5.5112 c=4.8534 alpha=90.00 beta=90.00 gamma=90.00
Last column: nearest neighbours and their distance in Å.
Element x y z (fractional)
Y1 0.0000 0.5000 0.0000  2 Ge 2.76
Y2 0.5000 0.0000 0.0000  2 Ge 2.76
Ge1 0.0000 0.0000 0.0000  2 As 2.43
Bi1 0.5000 0.5000 0.5000  8 Y 3.67, 4 As 3.90
As1 0.0000 0.0000 0.5000  2 Ge 2.43

Summary:
For the energy of formation, the calculation gives -0.214 eV/atom. As for the raw total energy: -27.1 eV for the cell shown. The calculation puts the magnetization at 0.00 μB/f.u.

=====

Computed, not measured: crystalline Bi2AsH at its relaxed geometry at the GGA-PBE level of DFT.

Unit cell a=7.2084 b=7.2084 c=7.2084 alpha=130.98 beta=130.98 gamma=71.85
Last column: nearest neighbours and their distance in Å.
Element x y z (fractional)
Bi1 0.0467 0.6250 0.9217  2 H 2.33
Bi2 0.3750 0.2967 0.4217  2 H 2.33
Bi3 0.7033 0.1250 0.0783  2 H 2.33
Bi4 0.8750 0.9533 0.5783  2 H 2.33
As1 0.2500 0.7500 0.5000  4 Bi 2.87
As2 0.5000 0.5000 0.0000  4 Bi 2.87
H1 0.0000 0.0000 0.0000  4 Bi 2.33
H2 0.7500 0.2500 0.5000  4 Bi 2.33

Summary:
As for the raw total energy: -28.5 eV for the cell shown. The calculation puts the magnetization at 0.00 μB/f.u.

=====

Computed, not measured: crystalline BiAsH2 at its relaxed geometry at the GGA-PBE level of DFT.

Unit cell a=5.6733 b=5.6733 c=5.6733 alpha=119.71 beta=119.71 gamma=90.50
Last column: nearest neighbours and their distance in Å.
Element x y z (fractional)
Bi1 0.0000 0.0000 0.0000  12 H 3.32-3.35, 4 Bi 3.48, 4 As 3.48
Bi2 0.7500 0.2500 0.5000  12 H 3.32-3.35, 4 Bi 3.48, 4 As 3.48
As1 0.2500 0.7500 0.5000  4 H 1.74
As2 0.5000 0.5000 0.0000  4 H 1.74
H1 0.3734 0.6250 0.2484  2 As 1.74
H2 0.3750 0.6234 0.7484  2 As 1.74
H3 0.3766 0.1250 0.7516  2 As 1.74
H4 0.8750 0.6266 0.2516  2 As 1.74

Summary:
As for the raw total energy: -27.1 eV for the cell shown. The calculation puts the magnetization at 0.00 μB/f.u.

=====

Computed, not measured: crystalline BiAsH2 at its relaxed geometry at the GGA-PBE level of DFT.

Unit cell a=7.6722 b=3.7003 c=12.4114 alpha=90.00 beta=111.82 gamma=90.00
Last column: nearest neighbours and their distance in Å.
Element x y z (fractional)
Bi1 0.2122 0.0040 0.0323  1 As 2.78, 1 Bi 3.05
Bi2 0.2122 0.4960 0.5323  1 As 2.78, 1 Bi 3.05
Bi3 0.7878 0.5040 0.4677  1 As 2.78, 1 Bi 3.05
Bi4 0.7878 0.9960 0.9677  1 As 2.78, 1 Bi 3.05
As1 0.2996 0.6194 0.7676  2 H 1.54-1.55
As2 0.2996 0.8806 0.2676  2 H 1.54-1.55
As3 0.7004 0.1194 0.7324  2 H 1.54-1.55
As4 0.7004 0.3806 0.2324  2 H 1.54-1.55
H1 0.0939 0.6806 0.7550  1 As 1.54
H2 0.0939 0.8194 0.2550  1 As 1.54
H3 0.2955 0.2211 0.8051  1 As 1.55
H4 0.2955 0.2789 0.3051  1 As 1.55
H5 0.7045 0.7211 0.6949  1 As 1.55
H6 0.7045 0.7789 0.1949  1 As 1.55
H7 0.9061 0.1806 0.7450  1 As 1.54
H8 0.9061 0.3194 0.2450  1 As 1.54

Summary:
As for the raw total energy: -58.1 eV for the cell shown. The calculation puts the magnetization at 0.00 μB/f.u.

=====

Computed, not measured: crystalline BiAsH at its relaxed geometry at the GGA-PBE level of DFT.

Unit cell a=4.2156 b=5.6745 c=6.8013 alpha=87.87 beta=89.79 gamma=69.00
Last column: nearest neighbours and their distance in Å.
Element x y z (fractional)
Bi1 0.0039 0.4882 0.2254  2 As 2.82, 1 Bi 3.06
Bi2 0.9961 0.5118 0.7746  2 As 2.82, 1 Bi 3.06
As1 0.3325 0.8422 0.2276  1 H 1.55
As2 0.6675 0.1578 0.7724  1 H 1.55
H1 0.3366 0.8298 0.4562  1 As 1.55
H2 0.6634 0.1702 0.5438  1 As 1.55

Summary:
As for the raw total energy: -23.2 eV for the cell shown. The calculation puts the magnetization at 0.00 μB/f.u.

=====

Computed, not measured: crystalline BiAsH at its relaxed geometry at the GGA-PBE level of DFT.

Unit cell a=8.9331 b=4.2819 c=8.5744 alpha=90.00 beta=95.20 gamma=90.00
Last column: nearest neighbours and their distance in Å.
Element x y z (fractional)
Bi1 0.1388 0.2499 0.3883  5 As 2.76-3.05
Bi2 0.1388 0.2501 0.8883  5 As 2.76-3.05
Bi3 0.8612 0.7499 0.1117  5 As 2.76-3.05
Bi4 0.8612 0.7501 0.6117  5 As 2.76-3.05
As1 0.1720 0.7501 0.1413  5 Bi 2.76-3.05, 1 H 3.07
As2 0.1720 0.7499 0.6413  5 Bi 2.76-3.05, 1 H 3.07
As3 0.8280 0.2501 0.3587  5 Bi 2.76-3.05, 1 H 3.07
As4 0.8280 0.2499 0.8587  5 Bi 2.76-3.05, 1 H 3.07
H1 0.4692 0.5381 0.0209  1 H 0.76
H2 0.4692 0.9619 0.5209  1 H 0.76
H3 0.5308 0.0381 0.4791  1 H 0.76
H4 0.5308 0.4619 0.9791  1 H 0.76

Summary:
As for the raw total energy: -46.9 eV for the cell shown. The calculation puts the magnetization at 0.00 μB/f.u.

=====

Computed, not measured: crystalline BiAsH2 at its relaxed geometry at the GGA-PBE level of DFT.

Unit cell a=4.2883 b=4.2883 c=4.2883 alpha=60.00 beta=60.00 gamma=60.00
Last column: nearest neighbours and their distance in Å.
Element x y z (fractional)
Bi1 0.0000 0.0000 0.0000  8 H 2.63
As1 0.5000 0.5000 0.5000  8 H 2.63
H1 0.2500 0.2500 0.2500  4 As 2.63, 4 Bi 2.63
H2 0.7500 0.7500 0.7500  4 As 2.63, 4 Bi 2.63

Summary:
As for the raw total energy: -12.3 eV for the cell shown. The calculation puts the magnetization at 0.00 μB/f.u.

=====

Computed, not measured: crystalline Bi3AsH at its relaxed geometry at the GGA-PBE level of DFT.

Unit cell a=4.9011 b=4.9011 c=4.9011 alpha=90.00 beta=90.00 gamma=90.00
Last column: nearest neighbours and their distance in Å.
Element x y z (fractional)
Bi1 0.0000 0.0000 0.5000  2 H 2.45
Bi2 0.0000 0.5000 0.0000  2 H 2.45
Bi3 0.5000 0.0000 0.0000  2 H 2.45
As1 0.5000 0.5000 0.5000  12 Bi 3.47
H1 0.0000 0.0000 0.0000  6 Bi 2.45

Summary:
As for the raw total energy: -17.2 eV for the cell shown. The calculation puts the magnetization at 0.00 μB/f.u.